First-principles (PBE) data for a relaxed NpFe4Mo crystal, as listed in the Alexandria database.

Geometry as POSCAR:
```
NpFe4Mo
1.0
-4.1261 -2.3077 0.0467
3.9721 -2.2827 -1.1681
1.1923 -1.9719 7.9081
Mo Fe Np
2 8 2
Cartesian
1.3311 -2.3876 -0.3757
-0.2928 -4.1746 7.1624
-2.4959 -2.7668 1.7020
3.5342 -3.7955 5.0848
-0.4335 -1.6133 1.6786
0.5962 -0.9859 3.9541
-0.5105 -3.9077 1.1181
1.5488 -2.6545 5.6686
1.4718 -4.9489 5.1081
0.0000 0.0000 0.0000
1.7987 -3.1609 2.7254
-0.7604 -3.4014 4.0614
```

**ΔH_f (0 K)**: 0.04 eV per atom
**Density**: 11.6 g/cm3
**Size of the total moment**: 3.979 μB per cell
**Offset from the most stable computed form**: 0.0 meV per atom